(1)
Density functional theory data (PBE-GGA) for crystalline Ga2OsPb at its relaxed geometry.

```
Ga2OsPb
1.0
-2.181 2.181 8.774
2.181 -2.181 8.774
2.181 2.181 -8.774
Ga Os Pb
4 2 2
direct
0.036 0.625 0.911
0.375 0.286 0.411
0.714 0.125 0.089
0.875 0.964 0.589
0.000 0.000 0.000
0.750 0.250 0.500
0.250 0.750 0.500
0.500 0.500 0.000
```

symmetry = I-42d
energy of formation from the pure elements = 0.52 eV per atom


(2)
Density functional theory data (PBE-GGA) for crystalline SbPWCl2 at its relaxed geometry.

```
SbPWCl2
1.0
4.735 0.000 0.000
0.000 4.735 0.000
0.000 0.000 4.984
Sb P W Cl
1 1 1 2
direct
0.000 0.000 0.000
0.500 0.500 0.000
0.500 0.500 0.500
0.000 0.500 0.500
0.500 0.000 0.500
```

symmetry = P4/mmm
E_form (uncorrected) = 0.431 eV per atom


(3)
Density functional theory data (PBE-GGA) for crystalline Ac7AgPb2N2 at its relaxed geometry.

```
Ac7AgPb2N2
1.0
3.759 -3.758 0.000
3.759 3.758 0.000
-3.741 0.000 13.882
Ac Ag Pb N
7 1 2 2
direct
0.000 0.000 0.000
0.093 0.593 0.187
0.194 0.194 0.390
0.407 0.907 0.813
0.593 0.093 0.187
0.806 0.806 0.610
0.907 0.407 0.813
0.500 0.500 0.000
0.323 0.323 0.643
0.677 0.677 0.357
0.101 0.101 0.202
0.899 0.899 0.798
```

symmetry = C2/m
E_form (uncorrected) = -0.589 eV per atom


(4)
Density functional theory data (PBE-GGA) for crystalline Mg2MnRh at its relaxed geometry.

```
Mg2MnRh
1.0
-3.521 3.521 2.614
3.521 -3.521 2.614
3.521 3.521 -2.614
Mg Mn Rh
4 2 2
direct
0.122 0.125 0.497
0.375 0.878 0.003
0.628 0.625 0.503
0.875 0.372 0.997
0.250 0.750 0.500
0.500 0.500 0.000
0.000 0.000 0.000
0.750 0.250 0.500
```

symmetry = I-42d
energy of formation from the pure elements = 0.59 eV per atom


(5)
Density functional theory data (PBE-GGA) for crystalline AcAg2Pb at its relaxed geometry.

```
AcAg2Pb
1.0
4.915 0.000 0.000
0.000 2.965 3.926
0.000 -2.965 3.926
Ac Ag Pb
1 2 1
direct
0.000 0.000 0.000
0.000 0.555 0.555
0.500 0.718 0.718
0.500 0.338 0.338
```

symmetry = Amm2
energy of formation from the pure elements = -0.14 eV per atom


(6)
Density functional theory data (PBE-GGA) for crystalline La12SmDy6 at its relaxed geometry.

```
La12SmDy6
1.0
7.502 4.332 3.503
-7.502 4.332 3.503
0.000 -8.663 3.503
La Sm Dy
12 1 6
direct
0.125 0.821 0.286
0.179 0.714 0.875
0.196 0.580 0.485
0.286 0.125 0.821
0.420 0.515 0.804
0.485 0.196 0.580
0.515 0.804 0.420
0.580 0.485 0.196
0.714 0.875 0.179
0.804 0.420 0.515
0.821 0.286 0.125
0.875 0.179 0.714
0.000 0.000 0.000
0.082 0.191 0.448
0.191 0.448 0.082
0.448 0.082 0.191
0.552 0.918 0.809
0.809 0.552 0.918
0.918 0.809 0.552
```

symmetry = R-3
energy of formation from the pure elements = 0.22 eV per atom


(7)
Density functional theory data (PBE-GGA) for crystalline Li8NbS6 at its relaxed geometry.

```
Li8NbS6
1.0
6.966 0.000 0.000
-3.483 6.033 0.000
0.000 0.000 13.475
Li Nb S
16 2 12
direct
0.000 0.323 0.000
0.000 0.376 0.366
0.000 0.624 0.866
0.000 0.677 0.500
0.323 0.000 0.000
0.323 0.323 0.500
0.333 0.667 0.135
0.333 0.667 0.635
0.376 0.000 0.366
0.376 0.376 0.866
0.624 0.000 0.866
0.624 0.624 0.366
0.667 0.333 0.135
0.667 0.333 0.635
0.677 0.000 0.500
0.677 0.677 0.000
0.000 0.000 0.233
0.000 0.000 0.733
0.000 0.000 0.410
0.000 0.000 0.910
0.000 0.323 0.185
0.000 0.677 0.685
0.323 0.000 0.185
0.323 0.323 0.685
0.333 0.667 0.450
0.333 0.667 0.950
0.667 0.333 0.450
0.667 0.333 0.950
0.677 0.000 0.685
0.677 0.677 0.185
```

symmetry = P6_3cm
E_form (uncorrected) = -1.194 eV per atom


(8)
Density functional theory data (PBE-GGA) for crystalline NaAcPrSi at its relaxed geometry.

```
NaAcPrSi
1.0
0.000 3.866 3.866
3.866 0.000 3.866
3.866 3.866 0.000
Na Ac Pr Si
1 1 1 1
direct
0.000 0.000 0.000
0.250 0.250 0.250
0.750 0.750 0.750
0.500 0.500 0.500
```

symmetry = F-43m
E_form (uncorrected) = -0.114 eV per atom